Density functional theory data (PBE with a Hubbard U) for a geometry-optimized VAgF4 structure.

Summary:
- ΔE to the lowest computed polymorph (kJ/mol of atoms) = 0.0
- symmetry = C2/m (12)
- crystal system = monoclinic
- uncorrected energy (eV/atom) = -5.178

Cell: 3.964 7.581 6.913 Å, 96.85 90.00 105.15°
Last column: magnetic moment on the atom in μB.
Sites, in units of the cell vectors:
1 V 0.084 0.167 0.672  1.91
2 V 0.916 0.833 0.328  1.91
3 Ag 0.203 0.407 0.221  0.00
4 Ag 0.797 0.593 0.779  0.00
5 F 0.058 0.117 0.379  0.00
6 F 0.098 0.197 0.946  -0.01
7 F 0.781 0.561 0.334  0.01
8 F 0.586 0.172 0.662  0.00
9 F 0.414 0.828 0.338  0.00
10 F 0.219 0.439 0.666  0.01
11 F 0.902 0.803 0.054  -0.01
12 F 0.942 0.883 0.621  0.00